A plane-wave DFT calculation with PBE was carried out for a relaxed structure of Dy3MgSn2PdPt2.

extended XYZ file:
```
9
Lattice="3.901 0.000 0.000 0.000 6.631 3.784 0.000 -6.631 3.784" Properties=species:S:1:pos:R:3 pbc="T T T"
Dy 0.000 0.000 0.000
Dy 0.000 -2.723 2.866
Dy 0.000 2.723 2.866
Mg 1.950 0.000 2.527
Sn 1.950 -1.708 5.373
Sn 1.950 1.708 5.373
Pd 0.000 0.000 4.442
Pt 1.950 -4.465 4.474
Pt 1.950 4.465 4.474
```

Properties
Calculated volume = 195.7 Å³/f.u.
DFT total energy = -5.51 eV/atom
Space group = Amm2, No. 38
Calculated density = 10.57 g cm⁻³